## Pr3Nd4Pb (PBE-GGA)

Data for a relaxed structure of Pr3Nd4Pb.

Cell: 10.222 7.254 7.265 Å, 90.00 90.00 90.00°
Atoms (fractional coordinates):
Pr: 0.000 0.000 0.000
Pr: 0.250 0.259 0.250
Pr: 0.250 0.741 0.750
Pr: 0.500 0.000 0.500
Pr: 0.750 0.259 0.250
Pr: 0.750 0.741 0.750
Nd: 0.000 0.001 0.500
Nd: 0.000 0.499 0.000
Nd: 0.250 0.261 0.750
Nd: 0.250 0.739 0.250
Nd: 0.500 0.501 0.500
Nd: 0.500 0.999 0.000
Nd: 0.750 0.261 0.750
Nd: 0.750 0.739 0.250
Pb: 0.000 0.500 0.500
Pb: 0.500 0.500 0.000

Values from the calculation:
The calculated total energy is -4.746 eV/atom. The formation energy comes out at -2.451 kcal/mol of atoms.